1.
An optimized crystal structure of LiNbSbI2. Source: Alexandria via LeMat-Bulk, functional PBE-GGA.

Cell and atoms, written as POSCAR:
```
LiNbSbI2
1.0
5.1705 0.0000 0.0000
0.0000 5.1705 0.0000
0.0000 0.0000 5.2219
I Sb Nb Li
2 1 1 1
direct
0.0000 0.5000 0.0000
0.5000 0.0000 0.0000
0.0000 0.0000 0.5000
0.5000 0.5000 0.5000
0.0000 0.0000 0.0000
```

Results
Energy above the most stable polymorph in this dataset, meV/atom: 606
Raw total energy, eV/cell: -15.9
SG: No. 123
Calculated volume, Å³/f.u.: 139.6
ΔE_f (raw), meV per atom: 657
Total moment, μB/cell: 2.6

---

2.
An optimized crystal structure of HgSb2As. Source: Alexandria via LeMat-Bulk, functional PBE-GGA.

Cell and atoms, written as POSCAR:
```
HgSb2As
1.0
4.5147 -0.0062 -0.0058
-2.1354 6.3246 0.0180
-0.0126 -2.5356 7.8738
Sb As Hg
4 2 2
direct
0.3957 0.0693 0.5500
0.8903 0.0636 0.7835
0.2003 0.5968 0.9143
0.6083 0.5775 0.1828
0.5975 0.5880 0.6653
0.2222 0.5969 0.4379
0.4037 0.0898 0.0558
0.9116 0.1027 0.3009
```

Results
Energy above the most stable polymorph in this dataset, meV/atom: 30
Raw total energy, eV/cell: -25.9
SG: No. 1
Calculated volume, Å³/f.u.: 112.4
ΔE_f (raw), meV per atom: 61
Total moment, μB/cell: 0.0

---

3.
An optimized crystal structure of NaCdHg14. Source: Alexandria via LeMat-Bulk, functional PBE-GGA.

Cell and atoms, written as POSCAR:
```
NaCdHg14
1.0
-0.1383 -2.5194 6.0189
6.1671 -0.6223 -2.0430
2.2831 9.4577 4.0113
Na Cd Hg
1 1 14
direct
0.3701 0.6299 0.0000
0.8175 0.1825 0.0000
0.3750 0.6250 0.5000
0.8669 0.1331 0.5000
0.8822 0.6936 0.0000
0.8682 0.6309 0.5000
0.3064 0.1178 0.0000
0.3691 0.1318 0.5000
0.6611 0.8762 0.7554
0.6611 0.8762 0.2446
0.1238 0.3389 0.7554
0.1238 0.3389 0.2446
0.1592 0.8408 0.7417
0.1592 0.8408 0.2583
0.6283 0.3717 0.7563
0.6283 0.3717 0.2437
```

Results
ΔE_f, kcal/mol of atoms: -0.81
Raw total energy, eV/cell: -7.0
SG: No. 38
Calculated volume, Å³/f.u.: 431.4
Total moment, μB/cell: 0.0

---

4.
An optimized crystal structure of AlSI. Source: Alexandria via LeMat-Bulk, functional PBE-GGA.

Cell and atoms, written as POSCAR:
```
AlSI
1.0
7.4757 0.0000 0.0000
0.0000 3.6992 0.0000
-1.7585 0.0000 6.1615
I S Al
2 2 2
direct
0.3970 0.0000 0.5252
0.3970 0.5000 0.0252
0.9792 0.0000 0.0584
0.9792 0.5000 0.5584
0.1265 0.0000 0.7723
0.1265 0.5000 0.2723
```

Results
Raw total energy, eV/cell: -23.5
SG: No. 8
Calculated volume, Å³/f.u.: 85.2
ΔE_f (raw), meV per atom: -773
Total moment, μB/cell: 0.0

---

5.
An optimized crystal structure of CeSmCdIn. Source: Alexandria via LeMat-Bulk, functional PBE-GGA.

Cell and atoms, written as POSCAR:
```
CeSmCdIn
1.0
-2.6878 -4.6553 -0.7897
0.5350 -4.0810 3.5466
-4.1419 -1.3312 3.2545
Cd Ce Sm In
1 1 1 1
direct
0.7500 0.7500 0.7500
0.5000 0.5000 0.5000
0.0000 0.0000 0.0000
0.2500 0.2500 0.2500
```

Results
ΔE_f, kcal/mol of atoms: -7.21
Raw total energy, eV/cell: -15.6
SG: No. 216
Calculated volume, Å³/f.u.: 113.4
Total moment, μB/cell: 1.3

---

6.
An optimized crystal structure of Li2La5Tc2. Source: Alexandria via LeMat-Bulk, functional PBE-GGA.

Cell and atoms, written as POSCAR:
```
Li2La5Tc2
1.0
7.3809 0.0000 2.6792
0.0000 7.8708 0.0000
0.7301 0.0000 9.4949
Li La Tc
4 10 4
direct
0.2307 0.0000 0.5386
0.7307 0.5000 0.5386
0.7693 0.0000 0.4614
0.2693 0.5000 0.4614
0.0000 0.0000 0.0000
0.5000 0.5000 0.0000
0.4274 0.1917 0.7674
0.8052 0.8083 0.7674
0.3052 0.6917 0.7674
0.9274 0.3083 0.7674
0.5726 0.8083 0.2326
0.1948 0.1917 0.2326
0.6948 0.3083 0.2326
0.0726 0.6917 0.2326
0.1361 0.4250 0.0000
0.8639 0.5750 0.0000
0.3639 0.9250 0.0000
0.6361 0.0750 0.0000
```

Results
ΔE_f, kcal/mol of atoms: 1.84
Raw total energy, eV/cell: -97.0
SG: No. 64
Calculated volume, Å³/f.u.: 268.1
Total moment, μB/cell: 0.0

---

Repeat the third record exactly.
An optimized crystal structure of NaCdHg14. Source: Alexandria via LeMat-Bulk, functional PBE-GGA.

Cell and atoms, written as POSCAR:
```
NaCdHg14
1.0
-0.1383 -2.5194 6.0189
6.1671 -0.6223 -2.0430
2.2831 9.4577 4.0113
Na Cd Hg
1 1 14
direct
0.3701 0.6299 0.0000
0.8175 0.1825 0.0000
0.3750 0.6250 0.5000
0.8669 0.1331 0.5000
0.8822 0.6936 0.0000
0.8682 0.6309 0.5000
0.3064 0.1178 0.0000
0.3691 0.1318 0.5000
0.6611 0.8762 0.7554
0.6611 0.8762 0.2446
0.1238 0.3389 0.7554
0.1238 0.3389 0.2446
0.1592 0.8408 0.7417
0.1592 0.8408 0.2583
0.6283 0.3717 0.7563
0.6283 0.3717 0.2437
```

Results
ΔE_f, kcal/mol of atoms: -0.81
Raw total energy, eV/cell: -7.0
SG: No. 38
Calculated volume, Å³/f.u.: 431.4
Total moment, μB/cell: 0.0

---

Q: What is the total moment in the first record?
A: 2.6 μB/cell

---

Q: What is the formula in the sixth record?
A: Li2La5Tc2